1.
An optimized crystal structure of Pm8P3PtI4, computed with PBE. Values from VASP.

Values from the calculation:
Density of states at the Fermi level, states/eV/cell: 8.977
Total magnetization, μB per atom: 0.000

```
&SYSTEM
  ibrav = 0, nat = 16, ntyp = 4
/
ATOMIC_SPECIES
Pm 145.00 Pm.upf
P 30.97 P.upf
Pt 195.08 Pt.upf
I 126.90 I.upf
ATOMIC_POSITIONS crystal
Pm 0.230 0.230 0.230
Pm 0.232 0.730 0.730
Pm 0.270 0.270 0.768
Pm 0.270 0.768 0.270
Pm 0.730 0.232 0.730
Pm 0.730 0.730 0.232
Pm 0.768 0.270 0.270
Pm 0.770 0.770 0.770
P 0.000 0.000 0.500
P 0.000 0.500 0.000
P 0.500 0.000 0.000
Pt 0.500 0.500 0.500
I 0.000 0.000 0.000
I 0.000 0.500 0.500
I 0.500 0.000 0.500
I 0.500 0.500 0.000
CELL_PARAMETERS angstrom
4.236 2.446 7.608
-4.236 2.446 7.608
0.000 -4.892 7.608
```

---

2.
An optimized crystal structure of Pm6PRh2I3, computed with PBE. Values from VASP.

Values from the calculation:
Density of states at the Fermi level, states/eV/cell: 2.542
Total magnetization, μB per atom: 0.000

```
&SYSTEM
  ibrav = 0, nat = 12, ntyp = 4
/
ATOMIC_SPECIES
Pm 145.00 Pm.upf
P 30.97 P.upf
Rh 102.91 Rh.upf
I 126.90 I.upf
ATOMIC_POSITIONS crystal
Pm 0.097 0.438 0.814
Pm 0.220 0.220 0.186
Pm 0.438 0.097 0.814
Pm 0.562 0.903 0.186
Pm 0.780 0.780 0.814
Pm 0.903 0.562 0.186
P 0.500 0.500 0.000
Rh 0.167 0.833 0.000
Rh 0.833 0.167 0.000
I 0.000 0.000 0.500
I 0.336 0.664 0.500
I 0.664 0.336 0.500
CELL_PARAMETERS angstrom
3.644 -6.306 0.000
3.644 6.306 0.000
-2.405 0.000 7.948
```

---

3.
An optimized crystal structure of Pm4PRhI2, computed with PBE. Values from VASP.

Values from the calculation:
Density of states at the Fermi level, states/eV/cell: 5.518
Total magnetization, μB per atom: 0.000

```
&SYSTEM
  ibrav = 0, nat = 8, ntyp = 4
/
ATOMIC_SPECIES
Pm 145.00 Pm.upf
P 30.97 P.upf
Rh 102.91 Rh.upf
I 126.90 I.upf
ATOMIC_POSITIONS crystal
Pm 0.218 0.000 0.185
Pm 0.269 0.500 0.811
Pm 0.731 0.500 0.189
Pm 0.782 0.000 0.815
P 0.500 0.000 0.000
Rh 0.000 0.500 0.000
I 0.000 0.000 0.500
I 0.500 0.500 0.500
CELL_PARAMETERS angstrom
7.563 0.000 0.000
0.000 4.104 0.000
-2.278 0.000 7.756
```

---

Let's list formation energy without anion corrections in order: -1261, -1032, -1087 meV per atom.